Record 1
! YSc2Si | Alexandria | SCAN | single point on PBEsol structure; values from VASP
! Energy relative to the elements, uncorrected = -10.8 kJ per mole of atoms
! SG = No. 160
&SYSTEM
  ibrav = 0, nat = 4, ntyp = 3
/
ATOMIC_SPECIES
Sc 44.96 Sc.upf
Si 28.09 Si.upf
Y 88.91 Y.upf
CELL_PARAMETERS angstrom
3.367 0.000 0.000
1.684 2.916 0.000
1.684 0.972 9.507
ATOMIC_POSITIONS angstrom
Sc 1.684 0.972 9.413
Sc 5.051 2.916 6.763
Si 3.367 1.944 4.852
Y 1.684 0.972 2.739



Record 2
! K2LiSe | Alexandria | SCAN | single point on PBEsol structure; values from VASP
! Energy relative to the elements, uncorrected = -94.0 kJ per mole of atoms
! SG = No. 160
&SYSTEM
  ibrav = 0, nat = 4, ntyp = 3
/
ATOMIC_SPECIES
K 39.10 K.upf
Se 78.96 Se.upf
Li 6.94 Li.upf
CELL_PARAMETERS angstrom
4.371 0.000 0.000
2.185 3.785 0.000
2.185 1.262 8.677
ATOMIC_POSITIONS angstrom
K 6.556 3.785 0.953
K 6.556 3.785 5.619
Se 2.185 1.262 3.291
Li 4.371 2.523 3.288



Asked for E_tot across the records above, the calculation gives -66.781, -43.022 eV for the cell shown in order.